Density functional theory data (PBE+U) for Na2Co3H10S3O18 after structural relaxation.

POSCAR file:
```
Na2Co3H10S3O18
1.0
3.6227 -10.0094 0.0000
3.6227 10.0094 0.0000
0.0000 0.0000 10.2536
Na S O H Co
4 6 36 20 6
direct
0.3982 0.0701 0.9926
0.0701 0.3982 0.9926
0.6018 0.9299 0.4926
0.9299 0.6018 0.4926
0.1866 0.1866 0.8702
0.4872 0.1665 0.5447
0.1665 0.4872 0.5447
0.5128 0.8335 0.0447
0.8335 0.5128 0.0447
0.8134 0.8134 0.3702
0.0577 0.0577 0.9809
0.7178 0.9450 0.7051
0.3102 0.3102 0.3652
0.2599 0.5817 0.4131
0.6898 0.6898 0.8652
0.4555 0.0063 0.5655
0.0550 0.2822 0.2051
0.9134 0.7036 0.0523
0.6284 0.3236 0.6446
0.6342 0.7563 0.3763
0.9423 0.9423 0.4809
0.2437 0.3658 0.8763
0.3716 0.6764 0.1446
0.2964 0.0866 0.5523
0.3236 0.6284 0.6446
0.6764 0.3716 0.1446
0.2822 0.0550 0.2051
0.7401 0.4183 0.9131
0.0866 0.2964 0.5523
0.5817 0.2599 0.4131
0.2681 0.8523 0.8077
0.3658 0.2437 0.8763
0.7563 0.6342 0.3763
0.4183 0.7401 0.9131
0.1477 0.7319 0.3077
0.8523 0.2681 0.8077
0.4836 0.4836 0.6435
0.7319 0.1477 0.3077
0.7036 0.9134 0.0523
0.9450 0.7178 0.7051
0.0063 0.4555 0.5655
0.0801 0.0801 0.7429
0.9937 0.5445 0.0655
0.5164 0.5164 0.1435
0.5445 0.9937 0.0655
0.9199 0.9199 0.2429
0.8133 0.8133 0.8263
0.8493 0.0089 0.6972
0.9911 0.1507 0.1972
0.9574 0.2592 0.2547
0.0426 0.7408 0.7547
0.5693 0.5693 0.5701
0.2170 0.7105 0.3417
0.0089 0.8493 0.6972
0.3389 0.9058 0.7230
0.7105 0.2170 0.3417
0.1867 0.1867 0.3263
0.9058 0.3389 0.7230
0.1507 0.9911 0.1972
0.7408 0.0426 0.7547
0.7830 0.2895 0.8417
0.2592 0.9574 0.2547
0.0942 0.6611 0.2230
0.4307 0.4307 0.0701
0.2895 0.7830 0.8417
0.6611 0.0942 0.2230
0.2267 0.2267 0.5565
0.3609 0.5221 0.2738
0.7733 0.7733 0.0565
0.5221 0.3609 0.2738
0.6391 0.4779 0.7738
0.4779 0.6391 0.7738
```

Total magnetic moment   18.2 μB per cell
Calculated density   2.76 Mg/m³
VASP energy   -5.55 eV/atom
Space group   No. 36